The following is a PBE calculation of Dy2Th4Sb3N2 after structural relaxation, from Alexandria via LeMat-Bulk.

Crystal system ... tetragonal
Calculated volume ... 587 Å³/cell
Total magnetization ... 0.000 μB per atom

Lattice parameters (Å, degrees): 4.7380 4.7380 26.1524 90.00 90.00 90.00
Last column: nearest neighbours and their distance in Å.
Space group I4/mmm (No. 139)
Unique sites:
Dy: 0.0000 0.0000 0.1973 [4 per cell]  1 N 2.31
Th: 0.0000 0.5000 0.0858 [8 per cell]  2 N 2.45
Sb: 0.0000 0.0000 0.3191 [4 per cell]  5 Dy 3.19-3.38, 4 Th 3.43
Sb: 0.0000 0.0000 0.5000 [2 per cell]  8 Th 3.26
N: 0.0000 0.0000 0.1090 [4 per cell]  1 Dy 2.31, 4 Th 2.45

---

The following is a PBE calculation of DyTh2SbN5 after structural relaxation, from Alexandria via LeMat-Bulk.

Crystal system ... orthorhombic
Calculated volume ... 602 Å³/cell
Total magnetization ... 0.000 μB per atom

Lattice parameters (Å, degrees): 3.6780 14.2056 11.5251 90.00 90.00 90.00
Last column: nearest neighbours and their distance in Å.
Space group Cmc2_1 (No. 36)
Unique sites:
Dy: 0.0000 0.2319 0.0000 [4 per cell]  6 N 2.33-2.54
Th: 0.0000 0.1339 0.2567 [4 per cell]  6 N 2.38-2.56
Th: 0.0000 0.1371 0.7233 [4 per cell]  3 N 2.24-2.41
Sb: 0.0000 0.4949 0.4997 [4 per cell]  4 N 2.06-2.10
N: 0.0000 0.0622 0.0530 [4 per cell]  2 Sb 2.10
N: 0.0000 0.2821 0.3537 [4 per cell]  3 Th 2.38-2.64, 2 Dy 2.50
N: 0.0000 0.2834 0.6512 [4 per cell]  3 Th 2.24-2.50
N: 0.0000 0.3786 0.0895 [4 per cell]  1 Sb 2.07
N: 0.0000 0.4609 0.8291 [4 per cell]  1 Sb 2.06

---

Table of energy (eV per cell), in record order: -157.57 -295.92
Table of energy relative to the elements, uncorrected (kJ/mol of atoms), in record order: -95 -94